[1]
VASP calculation (PBE) on crystalline LiCdNi2 at its relaxed geometry.

Cell: 3.575 3.575 9.368 Å, 79.00 79.00 90.00°
Atoms (fractional coordinates):
Ni 0.375 0.392 0.750
Ni 0.608 0.125 0.250
Ni 0.142 0.625 0.250
Ni 0.875 0.858 0.750
Cd 0.000 0.000 0.000
Cd 0.750 0.250 0.500
Li 0.250 0.750 0.500
Li 0.500 0.500 0.000

Values from the calculation:
Formation energy   0.2793 eV per atom
Magnetization   0.474 μB/cell

=====

[2]
VASP calculation (PBE) on crystalline LiCdNi2 at its relaxed geometry.

Cell: 2.752 3.436 5.798 Å, 90.00 90.00 90.00°
Atoms (fractional coordinates):
Ni 0.500 0.500 0.210
Ni 0.000 0.000 0.013
Li 0.500 0.500 0.784
Cd 0.000 0.000 0.493

Values from the calculation:
Formation energy   0.0390 eV per atom
Magnetization   0.643 μB/cell

=====

[3]
VASP calculation (PBE) on crystalline Li2CdNi at its relaxed geometry.

Cell: 3.099 3.099 6.063 Å, 90.00 90.00 90.00°
Atoms (fractional coordinates):
Ni 0.500 0.500 0.250
Li 0.000 0.000 0.462
Li 0.000 0.000 0.038
Cd 0.500 0.500 0.750

Values from the calculation:
Formation energy   -0.0175 eV per atom
Magnetization   0.000 μB/cell

=====

[4]
VASP calculation (PBE) on crystalline LiCdNi2 at its relaxed geometry.

Cell: 3.022 3.022 5.843 Å, 90.00 90.00 90.00°
Atoms (fractional coordinates):
Cd 0.500 0.500 0.250
Ni 0.000 0.000 0.965
Ni 0.000 0.000 0.535
Li 0.500 0.500 0.750

Values from the calculation:
Formation energy   0.0875 eV per atom
Magnetization   0.000 μB/cell